Entry from OQMD: a relaxed TmBeTc crystal (GGA-PBE).

total magnetic moment: 0.0 μB per formula unit
ΔE to the lowest computed polymorph: 0.0000 eV/atom

abc: 4.1879 4.1879 4.1879
angles: 60.00 60.00 60.00
Fractional positions:
Be 0.0000 0.0000 0.0000
Tc 0.2500 0.2500 0.2500
Tm 0.7500 0.7500 0.7500